*i*
Compound: TlNiOF2
Source: Alexandria
Functional: GGA+U
Structure: relaxed

```
data_TlNiOF2
_space_group_name_H-M_alt 'P 4/m m m'
_space_group_IT_number 123
_space_group_name_Hall '-P 4 2'
_cell_length_a 3.956
_cell_length_b 3.956
_cell_length_c 4.231
_cell_angle_alpha 90.00
_cell_angle_beta 90.00
_cell_angle_gamma 90.00
loop_
_atom_site_label
_atom_site_type_symbol
_atom_site_fract_x
_atom_site_fract_y
_atom_site_fract_z
_atom_site_occupancy
Tl1 Tl 0.000 0.000 0.000 1
Ni1 Ni 0.500 0.500 0.500 1
O1 O 0.500 0.500 0.000 1
F1 F 0.000 0.500 0.500 1
```



*ii*
Compound: TlNiOF2
Source: Alexandria
Functional: GGA+U
Structure: relaxed

```
data_TlNiOF2
_space_group_name_H-M_alt 'P 4/m m m'
_space_group_IT_number 123
_space_group_name_Hall '-P 4 2'
_cell_length_a 4.497
_cell_length_b 4.497
_cell_length_c 4.139
_cell_angle_alpha 90.00
_cell_angle_beta 90.00
_cell_angle_gamma 90.00
loop_
_atom_site_label
_atom_site_type_symbol
_atom_site_fract_x
_atom_site_fract_y
_atom_site_fract_z
_atom_site_occupancy
Tl1 Tl 0.000 0.000 0.000 1
Ni1 Ni 0.500 0.500 0.500 1
O1 O 0.000 0.000 0.500 1
F1 F 0.000 0.500 0.000 1
```



Most stable = *i*



*i*
Compound: NiWOF2
Source: Alexandria
Functional: GGA+U
Structure: relaxed

```
data_NiWOF2
_space_group_name_H-M_alt 'P 4/m m m'
_space_group_IT_number 123
_space_group_name_Hall '-P 4 2'
_cell_length_a 4.219
_cell_length_b 4.219
_cell_length_c 4.127
_cell_angle_alpha 90.00
_cell_angle_beta 90.00
_cell_angle_gamma 90.00
loop_
_atom_site_label
_atom_site_type_symbol
_atom_site_fract_x
_atom_site_fract_y
_atom_site_fract_z
_atom_site_occupancy
Ni1 Ni 0.000 0.000 0.000 1
W1 W 0.500 0.500 0.500 1
O1 O 0.500 0.500 0.000 1
F1 F 0.000 0.500 0.500 1
```



*ii*
Compound: NiWOF2
Source: Alexandria
Functional: GGA+U
Structure: relaxed

```
data_NiWOF2
_space_group_name_H-M_alt 'P 4/m m m'
_space_group_IT_number 123
_space_group_name_Hall '-P 4 2'
_cell_length_a 3.837
_cell_length_b 3.837
_cell_length_c 4.172
_cell_angle_alpha 90.00
_cell_angle_beta 90.00
_cell_angle_gamma 90.00
loop_
_atom_site_label
_atom_site_type_symbol
_atom_site_fract_x
_atom_site_fract_y
_atom_site_fract_z
_atom_site_occupancy
Ni1 Ni 0.000 0.000 0.000 1
W1 W 0.500 0.500 0.500 1
O1 O 0.000 0.000 0.500 1
F1 F 0.000 0.500 0.000 1
```



Most stable = *i*



*i*
Compound: YNiOF2
Source: Alexandria
Functional: GGA+U
Structure: relaxed

```
data_YNiOF2
_space_group_name_H-M_alt 'P 4/m m m'
_space_group_IT_number 123
_space_group_name_Hall '-P 4 2'
_cell_length_a 4.348
_cell_length_b 4.348
_cell_length_c 4.422
_cell_angle_alpha 90.00
_cell_angle_beta 90.00
_cell_angle_gamma 90.00
loop_
_atom_site_label
_atom_site_type_symbol
_atom_site_fract_x
_atom_site_fract_y
_atom_site_fract_z
_atom_site_occupancy
Y1 Y 0.000 0.000 0.000 1
Ni1 Ni 0.500 0.500 0.500 1
O1 O 0.000 0.000 0.500 1
F1 F 0.000 0.500 0.000 1
```



*ii*
Compound: YNiOF2
Source: Alexandria
Functional: GGA+U
Structure: relaxed

```
data_YNiOF2
_space_group_name_H-M_alt 'P 4/m m m'
_space_group_IT_number 123
_space_group_name_Hall '-P 4 2'
_cell_length_a 3.925
_cell_length_b 3.925
_cell_length_c 4.049
_cell_angle_alpha 90.00
_cell_angle_beta 90.00
_cell_angle_gamma 90.00
loop_
_atom_site_label
_atom_site_type_symbol
_atom_site_fract_x
_atom_site_fract_y
_atom_site_fract_z
_atom_site_occupancy
Y1 Y 0.000 0.000 0.000 1
Ni1 Ni 0.500 0.500 0.500 1
O1 O 0.500 0.500 0.000 1
F1 F 0.000 0.500 0.500 1
```



Most stable = *i*



*i*
Compound: NiOs2F
Source: Alexandria
Functional: GGA+U
Structure: relaxed

```
data_NiOs2F
_space_group_name_H-M_alt 'F m -3 m'
_space_group_IT_number 225
_space_group_name_Hall '-F 4 2 3'
_cell_length_a 5.798
_cell_length_b 5.798
_cell_length_c 5.798
_cell_angle_alpha 90.00
_cell_angle_beta 90.00
_cell_angle_gamma 90.00
loop_
_atom_site_label
_atom_site_type_symbol
_atom_site_fract_x
_atom_site_fract_y
_atom_site_fract_z
_atom_site_occupancy
Ni1 Ni 0.000 0.000 0.000 1
Os1 Os 0.250 0.250 0.250 1
F1 F 0.000 0.000 0.500 1
```



*ii*
Compound: NiOs2F
Source: Alexandria
Functional: GGA+U
Structure: relaxed

```
data_NiOs2F
_space_group_name_H-M_alt 'I -4 2 d'
_space_group_IT_number 122
_space_group_name_Hall 'I -4 2bw'
_cell_length_a 6.615
_cell_length_b 6.615
_cell_length_c 4.810
_cell_angle_alpha 90.00
_cell_angle_beta 90.00
_cell_angle_gamma 90.00
loop_
_atom_site_label
_atom_site_type_symbol
_atom_site_fract_x
_atom_site_fract_y
_atom_site_fract_z
_atom_site_occupancy
Ni1 Ni 0.000 0.000 0.000 1
Os1 Os 0.198 0.250 0.625 1
F1 F 0.000 0.000 0.500 1
```



Most stable = *i*



*i*
Compound: NiOs3F
Source: Alexandria
Functional: GGA+U
Structure: relaxed

```
data_NiOs3F
_space_group_name_H-M_alt 'P m -3 m'
_space_group_IT_number 221
_space_group_name_Hall '-P 4 2 3'
_cell_length_a 4.165
_cell_length_b 4.165
_cell_length_c 4.165
_cell_angle_alpha 90.00
_cell_angle_beta 90.00
_cell_angle_gamma 90.00
loop_
_atom_site_label
_atom_site_type_symbol
_atom_site_fract_x
_atom_site_fract_y
_atom_site_fract_z
_atom_site_occupancy
Ni1 Ni 0.000 0.000 0.000 1
Os1 Os 0.000 0.500 0.500 1
F1 F 0.500 0.500 0.500 1
```



*ii*
Compound: NiOs3F
Source: Alexandria
Functional: GGA+U
Structure: relaxed

```
data_NiOs3F
_space_group_name_H-M_alt 'P m -3 m'
_space_group_IT_number 221
_space_group_name_Hall '-P 4 2 3'
_cell_length_a 4.474
_cell_length_b 4.474
_cell_length_c 4.474
_cell_angle_alpha 90.00
_cell_angle_beta 90.00
_cell_angle_gamma 90.00
loop_
_atom_site_label
_atom_site_type_symbol
_atom_site_fract_x
_atom_site_fract_y
_atom_site_fract_z
_atom_site_occupancy
Ni1 Ni 0.000 0.000 0.000 1
Os1 Os 0.000 0.000 0.500 1
F1 F 0.500 0.500 0.500 1
```



Most stable = *i*



*i*
Compound: Ni2OsF
Source: Alexandria
Functional: GGA+U
Structure: relaxed

```
data_Ni2OsF
_space_group_name_H-M_alt 'F m -3 m'
_space_group_IT_number 225
_space_group_name_Hall '-F 4 2 3'
_cell_length_a 5.976
_cell_length_b 5.976
_cell_length_c 5.976
_cell_angle_alpha 90.00
_cell_angle_beta 90.00
_cell_angle_gamma 90.00
loop_
_atom_site_label
_atom_site_type_symbol
_atom_site_fract_x
_atom_site_fract_y
_atom_site_fract_z
_atom_site_occupancy
Ni1 Ni 0.250 0.250 0.250 1
Os1 Os 0.000 0.000 0.000 1
F1 F 0.000 0.000 0.500 1
```



*ii*
Compound: Ni2OsF
Source: Alexandria
Functional: GGA+U
Structure: relaxed

```
data_Ni2OsF
_space_group_name_H-M_alt 'I -4 2 d'
_space_group_IT_number 122
_space_group_name_Hall 'I -4 2bw'
_cell_length_a 5.998
_cell_length_b 5.998
_cell_length_c 6.145
_cell_angle_alpha 90.00
_cell_angle_beta 90.00
_cell_angle_gamma 90.00
loop_
_atom_site_label
_atom_site_type_symbol
_atom_site_fract_x
_atom_site_fract_y
_atom_site_fract_z
_atom_site_occupancy
Ni1 Ni 0.192 0.250 0.125 1
Os1 Os 0.000 0.000 0.500 1
F1 F 0.000 0.000 0.000 1
```



Most stable = *ii*



*i*
Compound: NiOsF2
Source: Alexandria
Functional: GGA+U
Structure: relaxed

```
data_NiOsF2
_space_group_name_H-M_alt 'R -3 m'
_space_group_IT_number 166
_space_group_name_Hall '-R 3 2"'
_cell_length_a 2.6429
_cell_length_b 2.6429
_cell_length_c 23.6043
_cell_angle_alpha 90.00
_cell_angle_beta 90.00
_cell_angle_gamma 120.00
loop_
_atom_site_label
_atom_site_type_symbol
_atom_site_fract_x
_atom_site_fract_y
_atom_site_fract_z
_atom_site_occupancy
Ni1 Ni 0.0000 0.0000 0.0000 1
Os1 Os 0.0000 0.0000 0.5000 1
F1 F 0.0000 0.0000 0.0815 1
```



*ii*
Compound: NiOsF2
Source: Alexandria
Functional: GGA+U
Structure: relaxed

```
data_NiOsF2
_space_group_name_H-M_alt 'F m -3 m'
_space_group_IT_number 225
_space_group_name_Hall '-F 4 2 3'
_cell_length_a 5.634
_cell_length_b 5.634
_cell_length_c 5.634
_cell_angle_alpha 90.00
_cell_angle_beta 90.00
_cell_angle_gamma 90.00
loop_
_atom_site_label
_atom_site_type_symbol
_atom_site_fract_x
_atom_site_fract_y
_atom_site_fract_z
_atom_site_occupancy
Ni1 Ni 0.000 0.000 0.000 1
Os1 Os 0.000 0.000 0.500 1
F1 F 0.250 0.250 0.250 1
```



Most stable = *i*



*i*
Compound: Ni3PF
Source: Alexandria
Functional: GGA+U
Structure: relaxed

```
data_Ni3PF
_space_group_name_H-M_alt 'P m -3 m'
_space_group_IT_number 221
_space_group_name_Hall '-P 4 2 3'
_cell_length_a 4.114
_cell_length_b 4.114
_cell_length_c 4.114
_cell_angle_alpha 90.00
_cell_angle_beta 90.00
_cell_angle_gamma 90.00
loop_
_atom_site_label
_atom_site_type_symbol
_atom_site_fract_x
_atom_site_fract_y
_atom_site_fract_z
_atom_site_occupancy
Ni1 Ni 0.000 0.000 0.500 1
P1 P 0.000 0.000 0.000 1
F1 F 0.500 0.500 0.500 1
```



*ii*
Compound: Ni3PF
Source: Alexandria
Functional: GGA+U
Structure: relaxed

```
data_Ni3PF
_space_group_name_H-M_alt 'P m -3 m'
_space_group_IT_number 221
_space_group_name_Hall '-P 4 2 3'
_cell_length_a 4.047
_cell_length_b 4.047
_cell_length_c 4.047
_cell_angle_alpha 90.00
_cell_angle_beta 90.00
_cell_angle_gamma 90.00
loop_
_atom_site_label
_atom_site_type_symbol
_atom_site_fract_x
_atom_site_fract_y
_atom_site_fract_z
_atom_site_occupancy
Ni1 Ni 0.000 0.000 0.500 1
P1 P 0.500 0.500 0.500 1
F1 F 0.000 0.000 0.000 1
```



Most stable = *ii*